Material: YCoGeH
Method: DFT, PBE-GGA
State: relaxed

Geometry as extended XYZ:
```
8
Lattice="-1.111 -0.030 3.745 1.391 -3.630 0.384 6.570 2.725 1.971" Properties=species:S:1:pos:R:3 pbc="T T T"
Y 3.799 1.792 3.179
Y 2.910 -0.897 0.857
Co 0.140 -1.830 2.065
Co 0.000 0.000 0.000
Ge 6.107 0.430 1.816
Ge 0.602 0.465 2.220
H 3.285 1.363 0.986
H 3.424 -0.467 3.050
```

Calculated values
Space group: No. 129
Final energy: -48.54 eV/cell
Total magnetization: 0.000 μB per cell